--- one ---
The following is a DFT calculation (GGA-PBE) of a relaxed RbZnAuO2 crystal. Values from VASP.

## Properties
Magnetization = 0.00 μB per cell
Crystal system = orthorhombic

Cell and atoms, written as Quantum ESPRESSO input:
```
&SYSTEM
  ibrav = 0, nat = 10, ntyp = 4
/
ATOMIC_SPECIES
Rb 85.47 Rb.upf
Zn 65.41 Zn.upf
Au 196.97 Au.upf
O 16.00 O.upf
ATOMIC_POSITIONS crystal
Rb 0.2500 0.7500 0.7775
Rb 0.7500 0.2500 0.2225
Zn 0.2500 0.2500 0.0000
Zn 0.7500 0.7500 0.0000
Au 0.0000 0.0000 0.5000
Au 0.5000 0.5000 0.5000
O 0.0900 0.9100 0.1716
O 0.4100 0.5900 0.1716
O 0.5900 0.4100 0.8284
O 0.9100 0.0900 0.8284
CELL_PARAMETERS angstrom
2.9007 -6.1341 0.0000
2.9007 6.1341 0.0000
0.0000 0.0000 5.4299
```


--- two ---
The following is a DFT calculation (GGA-PBE) of a relaxed RbZnAuO2 crystal. Values from VASP.

## Properties
Magnetization = 1.07 μB per cell
Crystal system = tetragonal

Cell and atoms, written as Quantum ESPRESSO input:
```
&SYSTEM
  ibrav = 0, nat = 5, ntyp = 4
/
ATOMIC_SPECIES
Rb 85.47 Rb.upf
Zn 65.41 Zn.upf
Au 196.97 Au.upf
O 16.00 O.upf
ATOMIC_POSITIONS crystal
Rb 0.0000 0.0000 0.0000
Zn 0.5000 0.5000 0.5000
Au 0.0000 0.0000 0.5000
O 0.0000 0.5000 0.0000
O 0.5000 0.0000 0.0000
CELL_PARAMETERS angstrom
4.2923 0.0000 0.0000
0.0000 4.2923 0.0000
0.0000 0.0000 6.8954
```


If we sort the structures by their calculated energies, the order from most to least stable is one, two.


--- one ---
The following is a DFT calculation (GGA-PBE) of a relaxed RhAu3O crystal. Values from VASP.

## Properties
Magnetization = 1.61 μB per cell
Crystal system = cubic

Cell and atoms, written as Quantum ESPRESSO input:
```
&SYSTEM
  ibrav = 0, nat = 5, ntyp = 3
/
ATOMIC_SPECIES
Rh 102.91 Rh.upf
Au 196.97 Au.upf
O 16.00 O.upf
ATOMIC_POSITIONS crystal
Rh 0.0000 0.0000 0.0000
Au 0.0000 0.0000 0.5000
Au 0.0000 0.5000 0.0000
Au 0.5000 0.0000 0.0000
O 0.5000 0.5000 0.5000
CELL_PARAMETERS angstrom
5.0074 0.0000 0.0000
0.0000 5.0074 0.0000
0.0000 0.0000 5.0074
```


--- two ---
The following is a DFT calculation (GGA-PBE) of a relaxed RhAu3O crystal. Values from VASP.

## Properties
Magnetization = 0.82 μB per cell
Crystal system = cubic

Cell and atoms, written as Quantum ESPRESSO input:
```
&SYSTEM
  ibrav = 0, nat = 5, ntyp = 3
/
ATOMIC_SPECIES
Rh 102.91 Rh.upf
Au 196.97 Au.upf
O 16.00 O.upf
ATOMIC_POSITIONS crystal
Rh 0.0000 0.0000 0.0000
Au 0.0000 0.5000 0.5000
Au 0.5000 0.0000 0.5000
Au 0.5000 0.5000 0.0000
O 0.5000 0.5000 0.5000
CELL_PARAMETERS angstrom
4.3977 0.0000 0.0000
0.0000 4.3977 0.0000
0.0000 0.0000 4.3977
```


If we sort the structures by their calculated energies, the order from most to least stable is two, one.


--- one ---
The following is a DFT calculation (GGA-PBE) of a relaxed Ru3AuO crystal. Values from VASP.

## Properties
Magnetization = 8.61 μB per cell
Crystal system = cubic

Cell and atoms, written as Quantum ESPRESSO input:
```
&SYSTEM
  ibrav = 0, nat = 5, ntyp = 3
/
ATOMIC_SPECIES
Ru 101.07 Ru.upf
Au 196.97 Au.upf
O 16.00 O.upf
ATOMIC_POSITIONS crystal
Ru 0.0000 0.0000 0.5000
Ru 0.0000 0.5000 0.0000
Ru 0.5000 0.0000 0.0000
Au 0.0000 0.0000 0.0000
O 0.5000 0.5000 0.5000
CELL_PARAMETERS angstrom
4.9332 0.0000 0.0000
0.0000 4.9332 0.0000
0.0000 0.0000 4.9332
```


--- two ---
The following is a DFT calculation (GGA-PBE) of a relaxed Ru3AuO crystal. Values from VASP.

## Properties
Magnetization = 1.96 μB per cell
Crystal system = cubic

Cell and atoms, written as Quantum ESPRESSO input:
```
&SYSTEM
  ibrav = 0, nat = 5, ntyp = 3
/
ATOMIC_SPECIES
Ru 101.07 Ru.upf
Au 196.97 Au.upf
O 16.00 O.upf
ATOMIC_POSITIONS crystal
Ru 0.0000 0.0000 0.5000
Ru 0.0000 0.5000 0.0000
Ru 0.5000 0.0000 0.0000
Au 0.5000 0.5000 0.5000
O 0.0000 0.0000 0.0000
CELL_PARAMETERS angstrom
4.1060 0.0000 0.0000
0.0000 4.1060 0.0000
0.0000 0.0000 4.1060
```


If we sort the structures by their calculated energies, the order from most to least stable is two, one.


--- one ---
The following is a DFT calculation (GGA-PBE) of a relaxed Au2SO crystal. Values from VASP.

## Properties
Magnetization = 0.00 μB per cell
Crystal system = tetragonal

Cell and atoms, written as Quantum ESPRESSO input:
```
&SYSTEM
  ibrav = 0, nat = 8, ntyp = 3
/
ATOMIC_SPECIES
Au 196.97 Au.upf
S 32.06 S.upf
O 16.00 O.upf
ATOMIC_POSITIONS crystal
Au 0.1064 0.6250 0.9814
Au 0.3750 0.3564 0.4814
Au 0.6436 0.1250 0.0186
Au 0.8750 0.8936 0.5186
S 0.2500 0.7500 0.5000
S 0.5000 0.5000 0.0000
O 0.0000 0.0000 0.0000
O 0.7500 0.2500 0.5000
CELL_PARAMETERS angstrom
-2.8219 2.8219 4.8559
2.8219 -2.8219 4.8559
2.8219 2.8219 -4.8559
```


--- two ---
The following is a DFT calculation (GGA-PBE) of a relaxed Au2SO crystal. Values from VASP.

## Properties
Magnetization = 0.00 μB per cell
Crystal system = cubic

Cell and atoms, written as Quantum ESPRESSO input:
```
&SYSTEM
  ibrav = 0, nat = 4, ntyp = 3
/
ATOMIC_SPECIES
Au 196.97 Au.upf
S 32.06 S.upf
O 16.00 O.upf
ATOMIC_POSITIONS crystal
Au 0.2500 0.2500 0.2500
Au 0.7500 0.7500 0.7500
S 0.0000 0.0000 0.0000
O 0.5000 0.5000 0.5000
CELL_PARAMETERS angstrom
0.0000 3.1010 3.1010
3.1010 0.0000 3.1010
3.1010 3.1010 0.0000
```


If we sort the structures by their calculated energies, the order from most to least stable is one, two.


--- one ---
The following is a DFT calculation (GGA-PBE) of a relaxed Sb2AuO2 crystal. Values from VASP.

## Properties
Magnetization = 0.00 μB per cell
Crystal system = tetragonal

Cell and atoms, written as Quantum ESPRESSO input:
```
&SYSTEM
  ibrav = 0, nat = 10, ntyp = 3
/
ATOMIC_SPECIES
Sb 121.76 Sb.upf
Au 196.97 Au.upf
O 16.00 O.upf
ATOMIC_POSITIONS crystal
Sb 0.2489 0.2511 0.0000
Sb 0.2511 0.7511 0.0000
Sb 0.7489 0.2489 0.0000
Sb 0.7511 0.7489 0.0000
Au 0.0000 0.0000 0.5000
Au 0.5000 0.5000 0.5000
O 0.1295 0.6295 0.5000
O 0.3705 0.1295 0.5000
O 0.6295 0.8705 0.5000
O 0.8705 0.3705 0.5000
CELL_PARAMETERS angstrom
8.0264 0.0000 0.0000
0.0000 8.0264 0.0000
0.0000 0.0000 3.0230
```


--- two ---
The following is a DFT calculation (GGA-PBE) of a relaxed Sb2AuO2 crystal. Values from VASP.

## Properties
Magnetization = 0.00 μB per cell
Crystal system = tetragonal

Cell and atoms, written as Quantum ESPRESSO input:
```
&SYSTEM
  ibrav = 0, nat = 5, ntyp = 3
/
ATOMIC_SPECIES
Sb 121.76 Sb.upf
Au 196.97 Au.upf
O 16.00 O.upf
ATOMIC_POSITIONS crystal
Sb 0.2500 0.7500 0.5000
Sb 0.7500 0.2500 0.5000
Au 0.0000 0.0000 0.0000
O 0.3193 0.3193 0.0000
O 0.6807 0.6807 0.0000
CELL_PARAMETERS angstrom
-2.2846 2.2846 4.3967
2.2846 -2.2846 4.3967
2.2846 2.2846 -4.3967
```


If we sort the structures by their calculated energies, the order from most to least stable is one, two.


--- one ---
The following is a DFT calculation (GGA-PBE) of a relaxed SbTe2AuO crystal. Values from VASP.

## Properties
Magnetization = 0.00 μB per cell
Crystal system = tetragonal

Cell and atoms, written as Quantum ESPRESSO input:
```
&SYSTEM
  ibrav = 0, nat = 5, ntyp = 4
/
ATOMIC_SPECIES
Sb 121.76 Sb.upf
Te 127.60 Te.upf
Au 196.97 Au.upf
O 16.00 O.upf
ATOMIC_POSITIONS crystal
Sb 0.0000 0.0000 0.0000
Te 0.0000 0.5000 0.5000
Te 0.5000 0.0000 0.5000
Au 0.0000 0.0000 0.5000
O 0.5000 0.5000 0.0000
CELL_PARAMETERS angstrom
5.3905 0.0000 0.0000
0.0000 5.3905 0.0000
0.0000 0.0000 5.4265
```


--- two ---
The following is a DFT calculation (GGA-PBE) of a relaxed SbTe2AuO crystal. Values from VASP.

## Properties
Magnetization = 0.00 μB per cell
Crystal system = tetragonal

Cell and atoms, written as Quantum ESPRESSO input:
```
&SYSTEM
  ibrav = 0, nat = 5, ntyp = 4
/
ATOMIC_SPECIES
Sb 121.76 Sb.upf
Te 127.60 Te.upf
Au 196.97 Au.upf
O 16.00 O.upf
ATOMIC_POSITIONS crystal
Sb 0.0000 0.0000 0.0000
Te 0.0000 0.5000 0.5000
Te 0.5000 0.0000 0.5000
Au 0.5000 0.5000 0.0000
O 0.0000 0.0000 0.5000
CELL_PARAMETERS angstrom
4.8735 0.0000 0.0000
0.0000 4.8735 0.0000
0.0000 0.0000 4.7578
```


If we sort the structures by their calculated energies, the order from most to least stable is two, one.